# 1
Computed, not measured: an optimized crystal structure of LaZr2Sb2 at the GGA-PBE level of DFT.

## Properties
Calculated total energy = -6.798 eV/atom
Mass density = 7.0 g/cm3
Crystal system = tetragonal

Lattice parameters (Å, degrees): 4.376 4.376 7.686 73.46 73.46 90.00
Atoms (fractional coordinates):
Sb 0.390 0.390 0.219
Sb 0.610 0.610 0.781
Zr 0.750 0.250 0.500
Zr 0.250 0.750 0.500
La 0.000 0.000 0.000

***

# 2
Computed, not measured: an optimized crystal structure of La2ZrSb at the GGA-PBE level of DFT.

## Properties
Calculated total energy = -5.871 eV/atom
Mass density = 6.7 g/cm3
Crystal system = orthorhombic

Lattice parameters (Å, degrees): 3.573 3.573 9.545 90.00 90.00 96.06
Atoms (fractional coordinates):
La 0.000 0.000 0.010
La 0.000 0.000 0.490
Sb 0.500 0.500 0.250
Zr 0.500 0.500 0.750

***

# 3
Computed, not measured: an optimized crystal structure of La2ZrSb at the GGA-PBE level of DFT.

## Properties
Calculated total energy = -6.085 eV/atom
Mass density = 6.5 g/cm3
Crystal system = monoclinic

Lattice parameters (Å, degrees): 4.861 4.208 6.454 71.19 90.00 90.00
Atoms (fractional coordinates):
La 0.000 0.978 0.922
La 0.500 0.273 0.326
Sb 0.000 0.693 0.486
Zr 0.500 0.556 0.766

***

# 4
Computed, not measured: an optimized crystal structure of LaZrSb2 at the GGA-PBE level of DFT.

## Properties
Calculated total energy = -5.980 eV/atom
Mass density = 7.3 g/cm3
Crystal system = tetragonal

Lattice parameters (Å, degrees): 6.187 6.187 6.187 137.44 137.44 61.77
Atoms (fractional coordinates):
La 0.750 0.250 0.500
Sb 0.000 0.000 0.000
Sb 0.250 0.750 0.500
Zr 0.500 0.500 0.000

***

# 5
Computed, not measured: an optimized crystal structure of La2ZrSb at the GGA-PBE level of DFT.

## Properties
Calculated total energy = -5.881 eV/atom
Mass density = 6.4 g/cm3
Crystal system = trigonal

Lattice parameters (Å, degrees): 9.883 9.883 9.883 22.78 22.78 22.78
Atoms (fractional coordinates):
La 0.008 0.008 0.008
La 0.236 0.236 0.236
Sb 0.492 0.492 0.492
Zr 0.764 0.764 0.764

***

# 6
Computed, not measured: an optimized crystal structure of LaZr2Sb at the GGA-PBE level of DFT.

## Properties
Calculated total energy = -6.844 eV/atom
Mass density = 7.3 g/cm3
Crystal system = monoclinic

Lattice parameters (Å, degrees): 5.487 5.487 5.647 77.55 77.55 37.73
Atoms (fractional coordinates):
La 0.250 0.250 0.250
Sb 0.750 0.750 0.750
Zr 0.013 0.013 0.972
Zr 0.487 0.487 0.528

***

Among the records above, which one has the highest calculated total energy? number 2